Ca2LaCl | PBE-GGA | relaxed

Cell: 3.927 6.364 10.859 Å, 90.00 90.00 90.00°
Space group Cmm2 (No. 35)
Inequivalent atoms, fractional coordinates:
Ca (0.000, 0.000, 0.000)
Ca (0.000, 0.500, 0.291)
La (0.000, 0.000, 0.580)
Cl (0.000, 0.500, 0.807)

Values from the calculation:
- spin magnetization (μB/f.u.) = 0.00
- energy relative to the lowest polymorph listed for this composition (meV/atom) = 111
- raw total energy (eV per atom) = -3.39
- uncorrected formation energy (eV/atom) = -0.699